# 1
First-principles (PBEsol) data for a geometry-optimized Ba2FeCl structure, as listed in the Alexandria database.

The structure belongs to space group R-3m (No. 166, hexagonal axes); the cell edges are 4.2733, 4.2733 and 24.9216 Å and the angles 90.00°, 90.00° and 120.00°. The asymmetric unit holds Ba at (0.0000, 0.0000, 0.2455), Fe at (0.0000, 0.0000, 0.5000) and Cl at (0.0000, 0.0000, 0.0000).

The value obtained for the energy is -50.02 eV for the cell shown. As for the formation energy without anion corrections: -351 meV per atom.

***

# 2
First-principles (PBEsol) data for a geometry-optimized Sc4Ta structure, as listed in the Alexandria database.

The structure belongs to space group I4/mmm (No. 139); the cell edges are 3.8431, 3.8431 and 15.1688 Å and the angles 90.00°, 90.00° and 90.00°. The asymmetric unit holds Sc at (0.0000, 0.0000, 0.0886), Sc at (0.0000, 0.5000, 0.2500) and Ta at (0.0000, 0.0000, 0.5000).

The calculation puts the formation energy at 0.630 eV/atom. The value obtained for the energy is -71.64 eV for the cell shown.

***

> Number 1 is which compound?

Ba2FeCl